No. 1
DFT (PBE) results for crystalline Tl3GaPt at its relaxed geometry.

Space-group type: Pm-3m
Distance to the lowest polymorph of the same formula: 0 meV per atom
VASP energy: -3.070 eV/atom
E_form: 0.163 eV/atom

abc: 5.348 5.348 5.348
angles: 90.00 90.00 90.00
Sites, in units of the cell vectors:
Tl (0.000, 0.000, 0.500)
Tl (0.000, 0.500, 0.000)
Tl (0.500, 0.000, 0.000)
Ga (0.500, 0.500, 0.500)
Pt (0.000, 0.000, 0.000)

---

No. 2
DFT (PBE) results for crystalline Tl3GaPt at its relaxed geometry.

Space-group type: Pm-3m
Distance to the lowest polymorph of the same formula: 456 meV per atom
VASP energy: -2.614 eV/atom
E_form: 0.619 eV/atom

abc: 5.306 5.306 5.306
angles: 90.00 90.00 90.00
Sites, in units of the cell vectors:
Tl (0.000, 0.000, 0.500)
Tl (0.000, 0.500, 0.000)
Tl (0.500, 0.000, 0.000)
Ga (0.000, 0.000, 0.000)
Pt (0.500, 0.500, 0.500)